(1)
Computed, not measured: La2Er2O5 after structural relaxation at the GGA-PBE level of DFT.

Calculated values
Size of the total moment = 0.000 μB/f.u.
Energy = -7.79 eV/atom
Energy above the lowest structure with this stoichiometry = 0 meV per atom

a b c (Å): 7.817 4.309 4.309
angles (deg): 90.00 90.00 90.00
Element x y z (fractional)
La 0.500 0.000 0.000
La 0.000 0.000 0.000
O 0.764 0.500 0.000
O 0.764 0.000 0.500
O 0.236 0.500 0.000
O 0.236 0.000 0.500
O 0.500 0.500 0.500
Er 0.768 0.500 0.500
Er 0.232 0.500 0.500



(2)
Computed, not measured: LaErPO after structural relaxation at the GGA-PBE level of DFT.

Calculated values
Size of the total moment = 0.010 μB/f.u.
Energy = -6.77 eV/atom
Energy above the lowest structure with this stoichiometry = 253 meV per atom

a b c (Å): 4.225 4.225 9.139
angles (deg): 90.00 90.00 90.00
Element x y z (fractional)
O 0.250 0.750 0.000
O 0.750 0.250 0.000
Er 0.250 0.250 0.097
Er 0.750 0.750 0.903
La 0.250 0.750 0.500
La 0.750 0.250 0.500
P 0.250 0.250 0.720
P 0.750 0.750 0.280



(3)
Computed, not measured: LaErPO after structural relaxation at the GGA-PBE level of DFT.

Calculated values
Size of the total moment = 0.008 μB/f.u.
Energy = -7.00 eV/atom
Energy above the lowest structure with this stoichiometry = 27 meV per atom

a b c (Å): 4.404 4.404 8.933
angles (deg): 90.00 90.00 90.00
Element x y z (fractional)
Er 0.500 0.500 0.500
Er 0.000 0.000 0.500
P 0.000 0.500 0.681
P 0.500 0.000 0.319
La 0.500 0.000 0.884
La 0.000 0.500 0.116
O 0.500 0.500 0.000
O 0.000 0.000 0.000



(4)
Computed, not measured: LaErPO after structural relaxation at the GGA-PBE level of DFT.

Calculated values
Size of the total moment = 0.004 μB/f.u.
Energy = -7.02 eV/atom
Energy above the lowest structure with this stoichiometry = 0 meV per atom

a b c (Å): 4.374 7.349 6.077
angles (deg): 90.00 90.00 90.00
Element x y z (fractional)
Er 0.500 0.118 0.512
Er 0.500 0.882 0.012
La 0.000 0.701 0.439
La 0.000 0.299 0.939
O 0.500 0.844 0.371
O 0.500 0.156 0.871
P 0.000 0.689 0.932
P 0.000 0.311 0.432



(5)
Computed, not measured: LaErPO after structural relaxation at the GGA-PBE level of DFT.

Calculated values
Size of the total moment = 0.555 μB/f.u.
Energy = -6.96 eV/atom
Energy above the lowest structure with this stoichiometry = 63 meV per atom

a b c (Å): 4.115 8.016 5.498
angles (deg): 90.00 90.00 90.00
Site moments in Bohr magnetons follow the coordinates.
Element x y z (fractional)
Er 0.000 0.694 0.439  0.08
Er 0.000 0.306 0.939  0.08
La 0.500 0.126 0.454  0.13
La 0.500 0.874 0.954  0.13
P 0.000 0.643 0.938  0.01
P 0.000 0.357 0.438  0.01
O 0.500 0.184 0.922  0.02
O 0.500 0.816 0.422  0.02



(6)
Computed, not measured: La3Er2TmTe2Os after structural relaxation at the GGA-PBE level of DFT.

Calculated values
Size of the total moment = 1.091 μB/f.u.
Energy = -5.89 eV/atom

a b c (Å): 4.182 8.492 8.492
angles (deg): 120.03 90.00 90.00
Site moments in Bohr magnetons follow the coordinates.
Element x y z (fractional)
Os 0.500 0.001 0.001  0.04
Tm 0.000 0.227 0.227  0.08
La 0.500 0.398 0.000  0.10
La 0.500 0.602 0.602  0.09
La 0.500 0.000 0.398  0.09
Er 0.000 0.772 0.000  0.07
Er 0.000 0.000 0.772  0.09
Te 0.000 0.666 0.333  -0.01
Te 0.000 0.333 0.666  -0.01



(7)
Computed, not measured: LaErP2 after structural relaxation at the GGA-PBE level of DFT.

Calculated values
Size of the total moment = 0.001 μB/f.u.
Energy = -6.61 eV/atom

a b c (Å): 4.134 4.134 5.836
angles (deg): 90.00 90.00 90.00
Element x y z (fractional)
Er 0.000 0.000 0.000
P 0.500 0.500 0.000
P 0.000 0.000 0.500
La 0.500 0.500 0.500



(8)
Computed, not measured: LaErPa after structural relaxation at the GGA-PBE level of DFT.

Calculated values
Size of the total moment = 0.789 μB/f.u.
Energy = -5.28 eV/atom
Formation energy from the elements = 1.046 eV/atom
Energy above the lowest structure with this stoichiometry = 0 meV per atom

a b c (Å): 5.288 5.288 5.288
angles (deg): 60.00 60.00 60.00
Element x y z (fractional)
La 0.250 0.250 0.250
Pa 0.750 0.750 0.750
Er 0.000 0.000 0.000